A plane-wave DFT calculation with PBE with a Hubbard U was carried out for a relaxed MgWO2 crystal.

Lattice parameters (Å, degrees): 6.2695 6.2695 6.2695 28.10 28.10 28.10
Atoms (fractional coordinates):
Mg 0.5000 0.5000 0.5000
O 0.8938 0.8938 0.8938
O 0.1062 0.1062 0.1062
W 0.0000 0.0000 0.0000

Values from the calculation:
V, Å³ per atom: 12.1
Total DFT energy (no corrections), eV per atom: -6.42